AlAg2Se | Alexandria via LeMat-Bulk | PBE | relaxed; offset from the most stable computed form = 0.143 eV per atom; calculated volume = 79 Å³ per cell; theoretical density = 6765 kg/m³; energy relative to the elements, uncorrected = 0.080 eV/atom
1.0
1.8306 -2.6433 0.0000
1.8306 2.6433 0.0000
0.0000 0.0000 8.1588
Al Ag Se
1 2 1
direct
0.0000 0.0000 0.0000
0.0000 0.0000 0.5010
0.5000 0.5000 0.2379
0.5000 0.5000 0.8006